(1)
# Ba2ThCdS5

A geometry-optimized Ba2ThCdS5 structure (PBE-GGA, Alexandria).

Values from the calculation:
- Formation energy from raw total energies: -1750 meV/atom
- Energy: -5.3961 eV per atom

Unit cell a=4.2642 b=18.2548 c=13.0874 alpha=90.00 beta=90.00 gamma=90.00
Last column: nearest neighbours and their distance in Å.
Space group Cmc2_1 (No. 36)
One atom of each set of equivalent atoms:
Ba 0.0000 0.1071 0.0000 x4  6 S 3.16-3.42
Ba 0.0000 0.1259 0.6280 x4  7 S 3.13-3.41
Th 0.0000 0.2094 0.3307 x4  6 S 2.72-2.84
Cd 0.0000 0.4581 0.7688 x4  3 S 2.47-2.55
S 0.0000 0.0569 0.3735 x4  2 Cd 2.55, 1 Th 2.84
S 0.0000 0.2855 0.9708 x4  2 Th 2.81
S 0.0000 0.3072 0.6908 x4  2 Th 2.83, 1 Cd 2.94
S 0.0000 0.3582 0.3186 x4  1 Th 2.72
S 0.0000 0.4969 0.0910 x4  1 Cd 2.47

(2)
# BaTiCdS2

A geometry-optimized BaTiCdS2 structure (PBE-GGA, Alexandria).

Values from the calculation:
- Formation energy from raw total energies: 952 meV/atom
- Energy: -2.8460 eV per atom

Unit cell a=5.6818 b=5.6818 c=6.1206 alpha=90.00 beta=90.00 gamma=90.00
Last column: nearest neighbours and their distance in Å.
Space group P4/mmm (No. 123)
One atom of each set of equivalent atoms:
Ba 0.0000 0.0000 0.0000 x1  4 S 2.84, 2 Ti 3.06
Ti 0.0000 0.0000 0.5000 x1  2 Ba 3.06
Cd 0.5000 0.5000 0.5000 x1  4 Ti 4.02, 8 S 4.18
S 0.0000 0.5000 0.0000 x2  2 Ba 2.84

(3)
# Ba3U2CdS9

A geometry-optimized Ba3U2CdS9 structure (PBE-GGA, Alexandria).

Values from the calculation:
- Formation energy from raw total energies: -1517 meV/atom
- Energy: -5.9444 eV per atom

Unit cell a=7.3129 b=7.3129 c=9.0234 alpha=90.00 beta=90.00 gamma=120.00
Last column: nearest neighbours and their distance in Å.
Space group P-3m1 (No. 164)
One atom of each set of equivalent atoms:
Ba 0.0000 0.0000 0.0000 x1  12 S 3.66
Ba 0.3333 0.6667 0.6490 x2  12 S 3.56-3.81
U 0.3333 0.6667 0.1728 x2  6 S 2.53-2.62
Cd 0.0000 0.0000 0.5000 x1  6 S 2.62
S 0.0000 0.5000 0.0000 x3  2 U 2.62
S 0.1678 0.3357 0.3297 x6  1 U 2.53, 1 Cd 2.62

(4)
# Ba2UCdS5

A geometry-optimized Ba2UCdS5 structure (PBE-GGA, Alexandria).

Values from the calculation:
- Formation energy from raw total energies: -1553 meV/atom
- Energy: -5.6292 eV per atom

Unit cell a=4.1986 b=18.1192 c=13.0406 alpha=90.00 beta=90.00 gamma=90.00
Last column: nearest neighbours and their distance in Å.
Space group Cmc2_1 (No. 36)
One atom of each set of equivalent atoms:
Ba 0.0000 0.1091 0.0000 x4  6 S 3.15-3.49
Ba 0.0000 0.1283 0.6258 x4  7 S 3.12-3.35
U 0.0000 0.2082 0.3304 x4  6 S 2.64-2.77
Cd 0.0000 0.4522 0.7638 x4  3 S 2.46-2.54
S 0.0000 0.0601 0.3724 x4  2 Cd 2.54, 1 U 2.74
S 0.0000 0.2856 0.9653 x4  2 U 2.74
S 0.0000 0.3059 0.6927 x4  2 U 2.77, 1 Cd 2.81
S 0.0000 0.3535 0.3174 x4  1 U 2.64
S 0.0000 0.4966 0.0889 x4  1 Cd 2.46

- Which value of energy does entry 2 give?
  -2.8460 eV per atom

- Number 1 is which compound?
  Ba2ThCdS5